[1]
Computed, not measured: crystalline NdLuCd2 at its relaxed geometry at the PBE-GGA level of DFT.

Cell: 5.3333 5.3333 5.3333 Å, 60.00 60.00 60.00°
Last column: nearest neighbours and their distance in Å.
Atoms (fractional coordinates):
Lu1 0.0000 0.0000 0.0000  8 Cd 3.27
Nd1 0.5000 0.5000 0.5000  8 Cd 3.27
Cd1 0.2500 0.2500 0.2500  4 Nd 3.27, 4 Lu 3.27
Cd2 0.7500 0.7500 0.7500  4 Nd 3.27, 4 Lu 3.27

## Properties
As for the formation energy: -303.7 meV/atom. The calculation puts the relative energy among the computed polymorphs at 3 meV/atom.

---

[2]
Computed, not measured: crystalline ScTaFeMo at its relaxed geometry at the PBE-GGA level of DFT.

Cell: 4.5009 4.5009 4.5009 Å, 60.00 60.00 60.00°
Last column: nearest neighbours and their distance in Å.
Atoms (fractional coordinates):
Sc1 0.0000 0.0000 0.0000  4 Fe 2.76, 4 Mo 2.76
Mo1 0.2500 0.2500 0.2500  4 Sc 2.76, 4 Ta 2.76
Fe1 0.7500 0.7500 0.7500  4 Ta 2.76, 4 Sc 2.76
Ta1 0.5000 0.5000 0.5000  4 Mo 2.76, 4 Fe 2.76

## Properties
As for the formation energy: 6.1 meV/atom.

---

Which of these has the lowest formation energy?
NdLuCd2

---

Which formula does entry 1 have?
NdLuCd2

---

What did the first record say?
Computed, not measured: crystalline NdLuCd2 at its relaxed geometry at the PBE-GGA level of DFT.

Cell: 5.3333 5.3333 5.3333 Å, 60.00 60.00 60.00°
Last column: nearest neighbours and their distance in Å.
Atoms (fractional coordinates):
Lu1 0.0000 0.0000 0.0000  8 Cd 3.27
Nd1 0.5000 0.5000 0.5000  8 Cd 3.27
Cd1 0.2500 0.2500 0.2500  4 Nd 3.27, 4 Lu 3.27
Cd2 0.7500 0.7500 0.7500  4 Nd 3.27, 4 Lu 3.27

## Properties
As for the formation energy: -303.7 meV/atom. The calculation puts the relative energy among the computed polymorphs at 3 meV/atom.